First-principles (PBE with a Hubbard U) data for a relaxed structure of Li4CoO4, as listed in the Open Quantum Materials Database.

Calculated values
**Space group**: P-1, No. 2
**Magnetic moment**: 10.00 μB/cell
**Crystal system**: triclinic
**Distance to the lowest polymorph of the same formula**: 0.0 meV per atom

a b c (Å): 5.093 5.120 7.618
angles (deg): 71.15 82.67 68.64
Positions (direct):
Li 0.228 0.108 0.206
Li 0.235 0.984 0.570
Li 0.244 0.570 0.412
Li 0.253 0.744 0.994
Li 0.747 0.256 0.006
Li 0.756 0.430 0.588
Li 0.765 0.016 0.430
Li 0.772 0.892 0.794
Co 0.220 0.338 0.769
Co 0.780 0.662 0.231
O 0.005 0.113 0.807
O 0.011 0.691 0.624
O 0.342 0.343 0.975
O 0.493 0.200 0.610
O 0.507 0.800 0.390
O 0.658 0.657 0.025
O 0.989 0.309 0.376
O 0.995 0.887 0.193

First-principles (PBE with a Hubbard U) data for a relaxed structure of LiCoO3, as listed in the Open Quantum Materials Database.

Calculated values
**Space group**: R-3c, No. 167
**Magnetic moment**: 4.00 μB/cell
**Crystal system**: trigonal
**Final energy**: -52.12 eV/cell

a b c (Å): 4.870 4.870 4.870
angles (deg): 60.86 60.86 60.86
Positions (direct):
Li 0.250 0.250 0.250
Li 0.750 0.750 0.750
Co 0.000 0.000 0.000
Co 0.500 0.500 0.500
O 0.124 0.750 0.376
O 0.250 0.624 0.876
O 0.376 0.124 0.750
O 0.624 0.876 0.250
O 0.750 0.376 0.124
O 0.876 0.250 0.624

First-principles (PBE with a Hubbard U) data for a relaxed structure of Li6CoO4, as listed in the Open Quantum Materials Database.

Calculated values
**Space group**: P4_2/nmc, No. 137
**Magnetic moment**: 6.00 μB/cell
**Crystal system**: tetragonal
**Final energy**: -110.24 eV/cell

a b c (Å): 6.512 6.512 4.633
angles (deg): 90.00 90.00 90.00
Positions (direct):
Li 0.032 0.532 0.250
Li 0.032 0.968 0.250
Li 0.250 0.250 0.204
Li 0.250 0.250 0.704
Li 0.468 0.532 0.250
Li 0.468 0.968 0.250
Li 0.532 0.032 0.750
Li 0.532 0.468 0.750
Li 0.750 0.750 0.296
Li 0.750 0.750 0.796
Li 0.968 0.032 0.750
Li 0.968 0.468 0.750
Co 0.250 0.750 0.750
Co 0.750 0.250 0.250
O 0.014 0.250 0.465
O 0.250 0.014 0.965
O 0.250 0.486 0.965
O 0.486 0.250 0.465
O 0.514 0.750 0.535
O 0.750 0.514 0.035
O 0.750 0.986 0.035
O 0.986 0.750 0.535

First-principles (PBE with a Hubbard U) data for a relaxed structure of Li4CoO4, as listed in the Open Quantum Materials Database.

Calculated values
**Space group**: Cmcm, No. 63
**Magnetic moment**: 9.99 μB/cell
**Crystal system**: orthorhombic
**Distance to the lowest polymorph of the same formula**: 9.1 meV per atom

a b c (Å): 5.330 5.330 6.099
angles (deg): 90.00 90.00 86.42
Positions (direct):
Li 0.078 0.622 0.750
Li 0.340 0.340 0.000
Li 0.340 0.340 0.500
Li 0.378 0.922 0.750
Li 0.622 0.078 0.250
Li 0.660 0.660 0.000
Li 0.660 0.660 0.500
Li 0.922 0.378 0.250
Co 0.161 0.839 0.250
Co 0.839 0.161 0.750
O 0.163 0.234 0.750
O 0.234 0.163 0.250
O 0.296 0.704 0.002
O 0.296 0.704 0.498
O 0.704 0.296 0.502
O 0.704 0.296 0.998
O 0.766 0.837 0.750
O 0.837 0.766 0.250

Repeat the first record exactly.
First-principles (PBE with a Hubbard U) data for a relaxed structure of Li4CoO4, as listed in the Open Quantum Materials Database.

Calculated values
**Space group**: P-1, No. 2
**Magnetic moment**: 10.00 μB/cell
**Crystal system**: triclinic
**Distance to the lowest polymorph of the same formula**: 0.0 meV per atom

a b c (Å): 5.093 5.120 7.618
angles (deg): 71.15 82.67 68.64
Positions (direct):
Li 0.228 0.108 0.206
Li 0.235 0.984 0.570
Li 0.244 0.570 0.412
Li 0.253 0.744 0.994
Li 0.747 0.256 0.006
Li 0.756 0.430 0.588
Li 0.765 0.016 0.430
Li 0.772 0.892 0.794
Co 0.220 0.338 0.769
Co 0.780 0.662 0.231
O 0.005 0.113 0.807
O 0.011 0.691 0.624
O 0.342 0.343 0.975
O 0.493 0.200 0.610
O 0.507 0.800 0.390
O 0.658 0.657 0.025
O 0.989 0.309 0.376
O 0.995 0.887 0.193